The following is a PBE with a Hubbard U calculation of a geometry-optimized TmPaCo2O8 structure, from Alexandria.

Results
**Uncorrected energy**: -89.117 eV for the cell shown
**Space-group type**: I-4m2 (119)
**Volume**: 160.6 Å³ per cell

a = 5.943 Å, b = 5.943 Å, c = 5.943 Å
α = 106.96°, β = 106.96°, γ = 114.62°
Last column: magnetic moment on the atom in μB.
Positions (direct):
Tm: 0.250 0.750 0.500  0.12
Pa: 0.000 0.000 0.000  0.19
Co: 0.750 0.250 0.500  3.15
Co: 0.500 0.500 0.000  3.17
O: 0.377 0.066 0.310  0.34
O: 0.309 0.494 0.185  0.38
O: 0.309 0.124 0.815  0.38
O: 0.756 0.066 0.690  0.34
O: 0.876 0.691 0.185  0.38
O: 0.934 0.244 0.310  0.34
O: 0.934 0.623 0.690  0.34
O: 0.506 0.691 0.815  0.38

The following is a PBE with a Hubbard U calculation of a geometry-optimized UPaCoO6 structure, from Alexandria.

Results
**Uncorrected energy**: -159.261 eV for the cell shown
**Space-group type**: P-31c (163)
**Volume**: 256.0 Å³ per cell

a = 5.833 Å, b = 5.833 Å, c = 8.689 Å
α = 90.00°, β = 90.00°, γ = 120.00°
Last column: magnetic moment on the atom in μB.
Positions (direct):
U: 0.667 0.333 0.250  -1.01
U: 0.333 0.667 0.750  -1.01
Pa: 0.333 0.667 0.250  0.01
Pa: 0.667 0.333 0.750  0.01
Co: 0.000 0.000 0.000  2.77
Co: 0.000 0.000 0.500  2.77
O: 0.661 0.657 0.131  0.04
O: 0.995 0.339 0.131  0.04
O: 0.339 0.995 0.631  0.04
O: 0.005 0.661 0.869  0.04
O: 0.343 0.339 0.369  0.04
O: 0.995 0.657 0.369  0.04
O: 0.657 0.995 0.869  0.04
O: 0.661 0.005 0.369  0.04
O: 0.005 0.343 0.631  0.04
O: 0.343 0.005 0.131  0.04
O: 0.657 0.661 0.631  0.04
O: 0.339 0.343 0.869  0.04

The following is a PBE with a Hubbard U calculation of a geometry-optimized PaVCoO6 structure, from Alexandria.

Results
**Uncorrected energy**: -143.522 eV for the cell shown
**Space-group type**: P-31c (163)
**Volume**: 218.6 Å³ per cell

a = 5.391 Å, b = 5.391 Å, c = 8.684 Å
α = 90.00°, β = 90.00°, γ = 120.00°
Last column: magnetic moment on the atom in μB.
Positions (direct):
Pa: 0.333 0.667 0.250  0.03
Pa: 0.667 0.333 0.750  0.03
V: 0.667 0.333 0.250  0.07
V: 0.333 0.667 0.750  0.07
Co: 0.000 0.000 0.000  2.73
Co: 0.000 0.000 0.500  2.73
O: 0.671 0.634 0.131  0.02
O: 0.962 0.329 0.131  0.02
O: 0.329 0.962 0.631  0.02
O: 0.038 0.671 0.869  0.02
O: 0.366 0.329 0.369  0.02
O: 0.962 0.634 0.369  0.02
O: 0.634 0.962 0.869  0.02
O: 0.671 0.038 0.369  0.02
O: 0.038 0.366 0.631  0.02
O: 0.366 0.038 0.131  0.02
O: 0.634 0.671 0.631  0.02
O: 0.329 0.366 0.869  0.02

The following is a PBE with a Hubbard U calculation of a geometry-optimized PaVCo2O6 structure, from Alexandria.

Results
**Uncorrected energy**: -78.279 eV for the cell shown
**Space-group type**: P1 (1)
**Volume**: 120.1 Å³ per cell

a = 5.355 Å, b = 5.359 Å, c = 5.754 Å
α = 62.46°, β = 61.77°, γ = 59.70°
Last column: magnetic moment on the atom in μB.
Positions (direct):
Pa: 0.815 0.815 0.555  0.07
V: 0.317 0.317 0.044  1.90
Co: 0.525 0.523 0.426  2.70
Co: 0.014 0.026 0.942  2.71
O: 0.602 0.218 0.252  0.07
O: 0.224 0.928 0.254  0.06
O: 0.926 0.594 0.253  0.06
O: 0.404 0.711 0.768  0.06
O: 0.712 0.124 0.762  0.06
O: 0.123 0.404 0.759  0.07

The following is a PBE with a Hubbard U calculation of a geometry-optimized PaVCo2O8 structure, from Alexandria.

Results
**Uncorrected energy**: -87.162 eV for the cell shown
**Space-group type**: I-4m2 (119)
**Volume**: 145.3 Å³ per cell

a = 5.736 Å, b = 5.736 Å, c = 5.736 Å
α = 109.66°, β = 109.66°, γ = 109.09°
Last column: magnetic moment on the atom in μB.
Positions (direct):
Pa: 0.000 0.000 0.000  0.18
V: 0.250 0.750 0.500  0.00
Co: 0.750 0.250 0.500  2.92
Co: 0.500 0.500 0.000  2.89
O: 0.366 0.052 0.314  0.18
O: 0.318 0.536 0.218  0.20
O: 0.318 0.099 0.782  0.20
O: 0.739 0.052 0.686  0.18
O: 0.901 0.682 0.218  0.20
O: 0.948 0.261 0.314  0.18
O: 0.948 0.634 0.686  0.18
O: 0.464 0.682 0.782  0.20

The following is a PBE with a Hubbard U calculation of a geometry-optimized YPaCo2O8 structure, from Alexandria.

Results
**Uncorrected energy**: -90.487 eV for the cell shown
**Space-group type**: I-4 (82)
**Volume**: 146.0 Å³ per cell

a = 5.119 Å, b = 5.119 Å, c = 6.644 Å
α = 112.66°, β = 112.66°, γ = 90.00°
Last column: magnetic moment on the atom in μB.
Positions (direct):
Y: 0.750 0.250 0.500  0.06
Pa: 0.000 0.000 0.000  0.23
Co: 0.500 0.500 0.000  3.16
Co: 0.250 0.750 0.500  3.17
O: 0.739 0.845 0.155  0.34
O: 0.416 0.309 0.155  0.34
O: 0.598 0.683 0.668  0.35
O: 0.070 0.985 0.668  0.35
O: 0.015 0.402 0.332  0.35
O: 0.317 0.930 0.332  0.35
O: 0.155 0.584 0.845  0.34
O: 0.691 0.261 0.845  0.34

The following is a PBE with a Hubbard U calculation of a geometry-optimized PaZnCoO6 structure, from Alexandria.

Results
**Uncorrected energy**: -61.636 eV for the cell shown
**Space-group type**: P312 (149)
**Volume**: 105.0 Å³ per cell

a = 4.734 Å, b = 5.061 Å, c = 5.061 Å
α = 120.00°, β = 90.00°, γ = 90.00°
Last column: magnetic moment on the atom in μB.
Positions (direct):
Pa: 0.000 0.333 0.667  0.00
Zn: 0.500 0.667 0.333  0.07
Co: 0.500 0.000 0.000  1.08
O: 0.727 0.695 0.694  0.11
O: 0.727 0.306 0.001  0.11
O: 0.727 0.999 0.305  0.11
O: 0.273 0.306 0.305  0.11
O: 0.273 0.695 0.001  0.11
O: 0.273 0.999 0.694  0.11

The following is a PBE with a Hubbard U calculation of a geometry-optimized PaZn3Co4O12 structure, from Alexandria.

Results
**Uncorrected energy**: -121.014 eV for the cell shown
**Space-group type**: Im-3 (204)
**Volume**: 201.5 Å³ per cell

a = 6.397 Å, b = 6.397 Å, c = 6.397 Å
α = 109.47°, β = 109.47°, γ = 109.47°
Last column: magnetic moment on the atom in μB.
Positions (direct):
Pa: 0.000 0.000 0.000  0.03
Zn: 0.000 0.500 0.500  -0.01
Zn: 0.500 0.500 0.000  -0.01
Zn: 0.500 0.000 0.500  -0.01
Co: 0.500 0.000 0.000  1.89
Co: 0.500 0.500 0.500  1.89
Co: 0.000 0.500 0.000  1.89
Co: 0.000 0.000 0.500  1.89
O: 0.289 0.823 0.112  -0.05
O: 0.711 0.177 0.888  -0.05
O: 0.711 0.823 0.534  -0.05
O: 0.888 0.711 0.177  -0.05
O: 0.823 0.112 0.289  -0.05
O: 0.177 0.466 0.289  -0.05
O: 0.466 0.289 0.177  -0.05
O: 0.177 0.888 0.711  -0.05
O: 0.289 0.177 0.466  -0.05
O: 0.112 0.289 0.823  -0.05
O: 0.823 0.534 0.711  -0.05
O: 0.534 0.711 0.823  -0.05